CsVH12C4O14 | meta-GGA SCAN | PBEsol geometry

a = 5.7797 Å, b = 5.7797 Å, c = 10.5307 Å
α = 81.18°, β = 81.18°, γ = 78.66°
Positions (direct):
Cs 0.0004 0.9996 0.5000
V 0.5004 0.4996 0.0000
H 0.2897 0.2889 0.8613
H 0.7111 0.7103 0.1387
H 0.2009 0.2002 0.0298
H 0.7998 0.7991 0.9702
H 0.3743 0.1511 0.6878
H 0.1519 0.3734 0.6877
H 0.6266 0.8481 0.3123
H 0.8489 0.6257 0.3122
H 0.1181 0.8956 0.1481
H 0.8964 0.1173 0.1481
H 0.8827 0.1036 0.8519
H 0.1044 0.8819 0.8519
C 0.4686 0.2587 0.2562
C 0.2595 0.4678 0.2562
C 0.5322 0.7405 0.7438
C 0.7413 0.5314 0.7438
O 0.3001 0.2994 0.9596
O 0.7006 0.6999 0.0404
O 0.6054 0.2531 0.1469
O 0.2538 0.6046 0.1469
O 0.3954 0.7462 0.8531
O 0.7469 0.3946 0.8531
O 0.4952 0.1103 0.3543
O 0.1110 0.4944 0.3543
O 0.5056 0.8890 0.6457
O 0.8897 0.5048 0.6457
O 0.3079 0.3071 0.7220
O 0.6929 0.6921 0.2779
O 0.0726 0.0718 0.1476
O 0.9282 0.9274 0.8524

Calculated values
* SG: C2/m
* E: -8.3074 eV per atom